No. 1
The following is a GGA-PBE calculation of CeDy6Y2Tm3 after structural relaxation, from Alexandria via LeMat-Bulk.

Cell: 6.123 6.123 11.715 Å, 95.00 95.00 119.97°
Site moments in Bohr magnetons follow the coordinates.
Positions (direct):
Ce 0.000 0.000 0.000  0.78
Dy 0.916 0.585 0.748  0.02
Dy 0.753 0.753 0.252  0.02
Dy 0.084 0.415 0.252  0.02
Dy 0.585 0.916 0.748  0.02
Dy 0.247 0.247 0.748  0.02
Dy 0.415 0.084 0.252  0.02
Y 0.333 0.667 0.000  0.04
Y 0.667 0.333 0.000  0.04
Tm 0.167 0.833 0.500  -0.02
Tm 0.833 0.167 0.500  -0.02
Tm 0.500 0.500 0.500  -0.02

Calculated values
The space group is C2/m. The total moment comes out at 1.19 μB/f.u. The calculated total energy is -4.9499 eV per atom.

No. 2
The following is a GGA-PBE calculation of Sc2As after structural relaxation, from Alexandria via LeMat-Bulk.

Cell: 6.897 6.897 5.605 Å, 66.04 66.04 31.24°
Positions (direct):
As 0.670 0.670 0.552
As 0.385 0.385 0.837
Sc 0.028 0.028 0.938
Sc 0.333 0.333 0.389
Sc 0.028 0.028 0.450
Sc 0.722 0.722 0.000

Calculated values
The space group is Immm. The total moment comes out at 0.00 μB/f.u. The calculated total energy is -6.6712 eV per atom.

Which formula does entry 2 have?
Sc2As

What is the total moment in the first record?
1.19 μB/f.u.

Look up the total moment of the second one.
0.00 μB/f.u.